No. 1
Density functional theory data (PBE-GGA) for a geometry-optimized Y3ErN4 structure.

Values from the calculation:
**Uncorrected formation energy**: -165.3 kJ/mol of atoms
**Density of states at the Fermi level**: 0.3 states/eV per cell
**Crystal system**: cubic

Cell lengths 4.902, 4.902, 4.902 Å; angles 90.00, 90.00, 90.00 degrees
Positions (direct):
Y 0.000 0.000 0.500
Y 0.000 0.500 0.000
Y 0.500 0.000 0.000
Er 0.500 0.500 0.500
N 0.000 0.000 0.000
N 0.000 0.500 0.500
N 0.500 0.000 0.500
N 0.500 0.500 0.000

=====

No. 2
Density functional theory data (PBE-GGA) for a geometry-optimized Ge3SeN structure.

Values from the calculation:
**Uncorrected formation energy**: 170.9 kJ/mol of atoms
**ΔE to the lowest computed polymorph**: 1175 meV/atom
**Density of states at the Fermi level**: 2.2 states/eV per cell
**Crystal system**: cubic

Cell lengths 5.116, 5.116, 5.116 Å; angles 90.00, 90.00, 90.00 degrees
Positions (direct):
Ge 0.000 0.000 0.500
Ge 0.000 0.500 0.000
Ge 0.500 0.000 0.000
Se 0.000 0.000 0.000
N 0.500 0.500 0.500

=====

No. 3
Density functional theory data (PBE-GGA) for a geometry-optimized Np4P6Pd5 structure.

Values from the calculation:
**E_form**: -687 meV per atom
**Density of states at the Fermi level**: 72.7 states/eV per cell
**Crystal system**: orthorhombic

Cell lengths 9.638, 9.638, 14.440 Å; angles 90.00, 90.00, 156.30 degrees
Positions (direct):
Np 0.005 0.995 0.500
Np 0.030 0.970 0.780
Np 0.166 0.834 0.304
Np 0.185 0.815 0.943
Np 0.815 0.185 0.443
Np 0.834 0.166 0.804
Np 0.970 0.030 0.280
Np 0.995 0.005 0.000
P 0.121 0.879 0.116
P 0.220 0.780 0.486
P 0.235 0.765 0.764
P 0.415 0.585 0.408
P 0.433 0.567 0.852
P 0.434 0.566 0.129
P 0.566 0.434 0.629
P 0.567 0.433 0.352
P 0.585 0.415 0.908
P 0.765 0.235 0.264
P 0.780 0.220 0.986
P 0.879 0.121 0.616
Pd 0.147 0.853 0.629
Pd 0.298 0.702 0.620
Pd 0.342 0.658 0.268
Pd 0.357 0.643 0.986
Pd 0.441 0.559 0.671
Pd 0.559 0.441 0.171
Pd 0.643 0.357 0.486
Pd 0.658 0.342 0.768
Pd 0.702 0.298 0.120
Pd 0.853 0.147 0.129

=====

No. 4
Density functional theory data (PBE-GGA) for a geometry-optimized LaTb2Tm9 structure.

Values from the calculation:
**E_form**: 31 meV per atom
**ΔE to the lowest computed polymorph**: 0 meV/atom
**Density of states at the Fermi level**: 17.0 states/eV per cell
**Crystal system**: tetragonal

Cell lengths 4.981, 4.981, 14.963 Å; angles 90.00, 90.00, 90.00 degrees
Positions (direct):
La 0.000 0.000 0.000
Tb 0.000 0.000 0.334
Tb 0.000 0.000 0.666
Tm 0.000 0.500 0.171
Tm 0.000 0.500 0.500
Tm 0.000 0.500 0.829
Tm 0.500 0.000 0.171
Tm 0.500 0.000 0.500
Tm 0.500 0.000 0.829
Tm 0.500 0.500 0.000
Tm 0.500 0.500 0.336
Tm 0.500 0.500 0.664

=====

No. 5
Density functional theory data (PBE-GGA) for a geometry-optimized Cr4PtSe structure.

Values from the calculation:
**Uncorrected formation energy**: 39.0 kJ/mol of atoms
**Density of states at the Fermi level**: 6.8 states/eV per cell
**Crystal system**: cubic

Cell lengths 4.854, 4.854, 4.854 Å; angles 60.00, 60.00, 60.00 degrees
Positions (direct):
Cr 0.376 0.376 0.376
Cr 0.376 0.376 0.871
Cr 0.376 0.871 0.376
Cr 0.871 0.376 0.376
Pt 0.750 0.750 0.750
Se 0.000 0.000 0.000

=====

No. 6
Density functional theory data (PBE-GGA) for a geometry-optimized KMo2Pt structure.

Values from the calculation:
**E_form**: 1313 meV per atom
**ΔE to the lowest computed polymorph**: 908 meV/atom
**Density of states at the Fermi level**: 3.3 states/eV per cell
**Crystal system**: cubic

Cell lengths 4.609, 4.609, 4.609 Å; angles 60.00, 60.00, 60.00 degrees
Positions (direct):
K 0.000 0.000 0.000
Mo 0.250 0.250 0.250
Mo 0.750 0.750 0.750
Pt 0.500 0.500 0.500

=====

No. 7
Density functional theory data (PBE-GGA) for a geometry-optimized Th4GaCo structure.

Values from the calculation:
**E_form**: -198 meV per atom
**Density of states at the Fermi level**: 14.1 states/eV per cell
**Crystal system**: monoclinic

Cell lengths 8.144, 8.144, 5.934 Å; angles 103.11, 103.11, 116.91 degrees
Positions (direct):
Th 0.074 0.699 0.922
Th 0.215 0.357 0.673
Th 0.301 0.926 0.578
Th 0.357 0.215 0.173
Th 0.643 0.785 0.827
Th 0.699 0.074 0.422
Th 0.785 0.643 0.327
Th 0.926 0.301 0.078
Ga 0.379 0.621 0.250
Ga 0.621 0.379 0.750
Co 0.012 0.988 0.250
Co 0.988 0.012 0.750

=====

No. 8
Density functional theory data (PBE-GGA) for a geometry-optimized AsAuNF structure.

Values from the calculation:
**Uncorrected formation energy**: -14.1 kJ/mol of atoms
**ΔE to the lowest computed polymorph**: 264 meV/atom
**Crystal system**: triclinic

Cell lengths 4.087, 4.480, 5.574 Å; angles 91.37, 106.53, 116.08 degrees
Positions (direct):
As 0.000 0.000 0.000
Au 0.927 0.482 0.260
N 0.362 0.366 0.221
F 0.243 0.921 0.790

=====

No. 9
Density functional theory data (PBE-GGA) for a geometry-optimized KRbIr2 structure.

Values from the calculation:
**E_form**: 1324 meV per atom
**ΔE to the lowest computed polymorph**: 0 meV/atom
**Density of states at the Fermi level**: 13.8 states/eV per cell
**Crystal system**: tetragonal

Cell lengths 7.021, 7.021, 7.021 Å; angles 97.94, 97.94, 136.35 degrees
Positions (direct):
K 0.000 0.000 0.000
K 0.750 0.250 0.500
Rb 0.250 0.750 0.500
Rb 0.500 0.500 0.000
Ir 0.117 0.625 0.992
Ir 0.375 0.367 0.492
Ir 0.633 0.125 0.008
Ir 0.875 0.883 0.508

=====

No. 10
Density functional theory data (PBE-GGA) for a geometry-optimized ErAl10Fe2 structure.

Values from the calculation:
**E_form**: -356 meV per atom
**Density of states at the Fermi level**: 9.1 states/eV per cell
**Crystal system**: orthorhombic

Cell lengths 6.741, 6.741, 8.955 Å; angles 90.00, 90.00, 97.13 degrees
Positions (direct):
Er 0.126 0.874 0.750
Er 0.874 0.126 0.250
Al 0.135 0.415 0.750
Al 0.157 0.843 0.097
Al 0.157 0.843 0.403
Al 0.219 0.478 0.250
Al 0.227 0.227 0.000
Al 0.227 0.227 0.500
Al 0.375 0.625 0.549
Al 0.375 0.625 0.951
Al 0.415 0.135 0.250
Al 0.478 0.219 0.750
Al 0.522 0.781 0.250
Al 0.585 0.865 0.750
Al 0.625 0.375 0.049
Al 0.625 0.375 0.451
Al 0.773 0.773 0.000
Al 0.773 0.773 0.500
Al 0.781 0.522 0.750
Al 0.843 0.157 0.597
Al 0.843 0.157 0.903
Al 0.865 0.585 0.250
Fe 0.000 0.500 0.000
Fe 0.000 0.500 0.500
Fe 0.500 0.000 0.000
Fe 0.500 0.000 0.500

=====

No. 11
Density functional theory data (PBE-GGA) for a geometry-optimized K7NbTe6 structure.

Values from the calculation:
**Uncorrected formation energy**: -82.4 kJ/mol of atoms
**Crystal system**: orthorhombic

Cell lengths 13.126, 13.126, 13.126 Å; angles 139.57, 105.61, 88.27 degrees
Positions (direct):
K 0.039 0.214 0.253
K 0.103 0.519 0.850
K 0.169 0.019 0.417
K 0.250 0.250 0.000
K 0.331 0.748 0.850
K 0.397 0.248 0.417
K 0.461 0.714 0.175
K 0.539 0.286 0.825
K 0.603 0.752 0.583
K 0.669 0.252 0.150
K 0.750 0.750 0.000
K 0.831 0.981 0.583
K 0.897 0.481 0.150
K 0.961 0.786 0.747
Nb 0.250 0.750 0.500
Nb 0.750 0.250 0.500
Te 0.077 0.849 0.578
Te 0.165 0.911 0.076
Te 0.229 0.651 0.228
Te 0.271 0.499 0.422
Te 0.335 0.411 0.745
Te 0.423 0.001 0.772
Te 0.577 0.999 0.228
Te 0.665 0.589 0.255
Te 0.729 0.501 0.578
Te 0.771 0.349 0.772
Te 0.835 0.089 0.924
Te 0.923 0.151 0.422

=====

No. 12
Density functional theory data (PBE-GGA) for a geometry-optimized Hf3SnMo structure.

Values from the calculation:
**E_form**: 644 meV per atom
**ΔE to the lowest computed polymorph**: 716 meV/atom
**Density of states at the Fermi level**: 9.2 states/eV per cell
**Crystal system**: cubic

Cell lengths 5.014, 5.014, 5.014 Å; angles 90.00, 90.00, 90.00 degrees
Positions (direct):
Hf 0.000 0.000 0.500
Hf 0.000 0.500 0.000
Hf 0.500 0.000 0.000
Sn 0.500 0.500 0.500
Mo 0.000 0.000 0.000

=====

Number 1: VASP energy -8.8704 eV per atom. Number 2: VASP energy -3.3607 eV per atom. Number 3: VASP energy -8.0329 eV per atom. Number 4: VASP energy -4.5048 eV per atom. Number 5: VASP energy -7.5992 eV per atom. Number 6: VASP energy -5.8875 eV per atom. Number 7: VASP energy -6.8328 eV per atom. Number 8: VASP energy -4.6770 eV per atom. Number 9: VASP energy -3.6225 eV per atom. Number 10: VASP energy -4.8876 eV per atom. Number 11: VASP energy -3.4683 eV per atom. Number 12: VASP energy -8.2952 eV per atom.